[1]
# Ba3PBrO

A relaxed structure of Ba3PBrO (PBE, Alexandria via LeMat-Bulk).

Unit cell a=4.5949 b=9.8014 c=10.5213 alpha=100.91 beta=90.00 gamma=90.00
With the nearest neighbours (Å) after each atom.
Element x y z (fractional)
Ba1 0.7500 0.8804 0.1672  1 O 2.43
Ba2 0.2500 0.1196 0.8328  1 O 2.43
Ba3 0.2500 0.8340 0.4746  3 O 2.54-2.60
Ba4 0.7500 0.1660 0.5254  3 O 2.54-2.60
Ba5 0.7500 0.4330 0.1464  3 P 3.13-3.17
Ba6 0.2500 0.5670 0.8536  3 P 3.13-3.17
P1 0.2500 0.6577 0.1557  6 Ba 3.13-3.47
P2 0.7500 0.3423 0.8443  6 Ba 3.13-3.47
Br1 0.2500 0.1829 0.2212  6 Ba 3.56-3.97
Br2 0.7500 0.8171 0.7788  6 Ba 3.56-3.97
O1 0.2500 0.0829 0.5981  4 Ba 2.43-2.60
O2 0.7500 0.9171 0.4019  4 Ba 2.43-2.60

Calculated values
raw formation energy: -1805 meV/atom
SG: P2_1/m



[2]
# TiNiS2Cl

A relaxed structure of TiNiS2Cl (PBE, Alexandria via LeMat-Bulk).

Unit cell a=4.7186 b=4.7186 c=4.6799 alpha=90.00 beta=90.00 gamma=90.00
With the nearest neighbours (Å) after each atom.
Element x y z (fractional)
Ni1 0.5000 0.5000 0.5000  8 S 3.32, 4 Cl 3.34
S1 0.0000 0.5000 0.0000  2 Ti 2.36
S2 0.5000 0.0000 0.0000  2 Ti 2.36
Cl1 0.0000 0.0000 0.5000  2 Ti 2.34
Ti1 0.0000 0.0000 0.0000  2 Cl 2.34, 4 S 2.36

Calculated values
raw formation energy: -124 meV/atom
SG: P4/mmm
DOS(E_F): 9.3 states/eV per cell



[3]
# Dy2Zn15Cd2

A relaxed structure of Dy2Zn15Cd2 (PBE, Alexandria via LeMat-Bulk).

Unit cell a=6.8799 b=6.8799 c=6.8799 alpha=82.83 beta=82.83 gamma=82.83
With the nearest neighbours (Å) after each atom.
Element x y z (fractional)
Dy1 0.3424 0.3424 0.3424  1 Cd 3.15, 18 Zn 3.16-3.52
Dy2 0.6576 0.6576 0.6576  1 Cd 3.15, 18 Zn 3.16-3.52
Zn1 0.5000 0.0000 0.0000  8 Zn 2.62-2.69, 2 Cd 2.75
Zn2 0.0000 0.0000 0.5000  8 Zn 2.62-2.69, 2 Cd 2.75
Zn3 0.0000 0.5000 0.0000  8 Zn 2.62-2.69, 2 Cd 2.75
Zn4 0.0000 0.6972 0.3028  8 Zn 2.62-2.80
Zn5 0.6972 0.3028 0.0000  8 Zn 2.62-2.80
Zn6 0.3028 0.0000 0.6972  8 Zn 2.62-2.80
Zn7 0.3028 0.6972 0.0000  8 Zn 2.62-2.80
Zn8 0.6972 0.0000 0.3028  8 Zn 2.62-2.80
Zn9 0.0000 0.3028 0.6972  8 Zn 2.62-2.80
Zn10 0.1672 0.6455 0.6455  8 Zn 2.54-2.80
Zn11 0.6455 0.6455 0.1672  8 Zn 2.54-2.80
Zn12 0.6455 0.1672 0.6455  8 Zn 2.54-2.80
Zn13 0.8328 0.3545 0.3545  8 Zn 2.54-2.80
Zn14 0.3545 0.3545 0.8328  8 Zn 2.54-2.80
Zn15 0.3545 0.8328 0.3545  8 Zn 2.54-2.80
Cd1 0.1058 0.1058 0.1058  6 Zn 2.75-2.92, 1 Cd 2.82
Cd2 0.8942 0.8942 0.8942  6 Zn 2.75-2.92, 1 Cd 2.82

Calculated values
formation enthalpy at 0 K: -0.21 eV per atom
SG: R-3m
DOS(E_F): 3.9 states/eV per cell



[4]
# EuGaAgGe

A relaxed structure of EuGaAgGe (PBE, Alexandria via LeMat-Bulk).

Unit cell a=4.9378 b=4.9378 c=4.9378 alpha=60.00 beta=60.00 gamma=60.00
With the nearest neighbours (Å) after each atom.
Element x y z (fractional)
Eu1 0.0000 0.0000 0.0000  4 Ga 3.02, 4 Ge 3.02
Ge1 0.2500 0.2500 0.2500  4 Eu 3.02, 4 Ag 3.02
Ga1 0.7500 0.7500 0.7500  4 Ag 3.02, 4 Eu 3.02
Ag1 0.5000 0.5000 0.5000  4 Ge 3.02, 4 Ga 3.02

Calculated values
formation enthalpy at 0 K: -0.28 eV per atom
SG: F-43m
DOS(E_F): 0.9 states/eV per cell



[5]
# ZnSiAg

A relaxed structure of ZnSiAg (PBE, Alexandria via LeMat-Bulk).

Unit cell a=6.4824 b=6.4824 c=6.4824 alpha=154.94 beta=154.94 gamma=35.73
With the nearest neighbours (Å) after each atom.
Element x y z (fractional)
Ag1 0.9963 0.9963 0.0000  4 Ag 2.81, 4 Zn 2.85, 4 Si 2.95
Si1 0.6728 0.6728 0.0000  4 Zn 2.79, 4 Si 2.81, 4 Ag 2.95
Zn1 0.3309 0.3309 0.0000  4 Si 2.79, 4 Zn 2.81, 4 Ag 2.85

Calculated values
raw formation energy: 239 meV/atom
SG: I4mm
DOS(E_F): 0.8 states/eV per cell



[6]
# NiRuSe

A relaxed structure of NiRuSe (PBE, Alexandria via LeMat-Bulk).

Unit cell a=3.9512 b=2.6842 c=9.8846 alpha=90.00 beta=90.00 gamma=90.00
With the nearest neighbours (Å) after each atom.
Element x y z (fractional)
Ru1 0.5000 0.0000 0.6893  2 Se 2.45, 4 Ni 2.51-2.55, 2 Ru 2.68
Ru2 0.0000 0.5000 0.3107  2 Se 2.45, 4 Ni 2.51-2.55, 2 Ru 2.68
Ni1 0.0000 0.0000 0.5257  6 Ni 2.44-2.68, 4 Ru 2.51-2.55
Ni2 0.5000 0.5000 0.4743  6 Ni 2.44-2.68, 4 Ru 2.51-2.55
Se1 0.5000 0.5000 0.1641  2 Ru 2.45, 2 Se 2.68
Se2 0.0000 0.0000 0.8359  2 Ru 2.45, 2 Se 2.68

Calculated values
raw formation energy: 239 meV/atom
SG: Pmmn
DOS(E_F): 8.9 states/eV per cell



[7]
# RbHfAg2

A relaxed structure of RbHfAg2 (PBE, Alexandria via LeMat-Bulk).

Unit cell a=5.2265 b=5.2265 c=5.2265 alpha=60.00 beta=60.00 gamma=60.00
With the nearest neighbours (Å) after each atom.
Element x y z (fractional)
Hf1 0.5000 0.5000 0.5000  8 Ag 3.20
Rb1 0.0000 0.0000 0.0000  8 Ag 3.20
Ag1 0.2500 0.2500 0.2500  4 Hf 3.20, 4 Rb 3.20
Ag2 0.7500 0.7500 0.7500  4 Rb 3.20, 4 Hf 3.20

Calculated values
formation enthalpy at 0 K: 0.77 eV per atom
SG: Fm-3m
DOS(E_F): 4.6 states/eV per cell



[8]
# Na2Y2NpO6

A relaxed structure of Na2Y2NpO6 (PBE, Alexandria via LeMat-Bulk).

Unit cell a=6.0100 b=6.0100 c=5.9414 alpha=99.22 beta=99.22 gamma=120.17
With the nearest neighbours (Å) after each atom.
Element x y z (fractional)
Na1 0.8292 0.1708 0.0000  6 O 2.54-2.63
Na2 0.1708 0.8292 0.0000  6 O 2.54-2.63
Y1 0.3343 0.6657 0.5000  6 O 2.26-2.34
Y2 0.6657 0.3343 0.5000  6 O 2.26-2.34
Np1 0.0000 0.0000 0.5000  6 O 2.17-2.30
O1 0.7502 0.7502 0.6954  1 Np 2.17, 2 Y 2.34
O2 0.0515 0.3916 0.6998  2 Y 2.26-2.34, 1 Np 2.30
O3 0.2498 0.2498 0.3046  1 Np 2.17, 2 Y 2.34
O4 0.3916 0.0515 0.6998  2 Y 2.26-2.34, 1 Np 2.30
O5 0.9485 0.6084 0.3002  2 Y 2.26-2.34, 1 Np 2.30
O6 0.6084 0.9485 0.3002  2 Y 2.26-2.34, 1 Np 2.30

Calculated values
raw formation energy: -2779 meV/atom
SG: C2/m
DOS(E_F): 8.8 states/eV per cell



[9]
# Ho2MgGa4Pd3

A relaxed structure of Ho2MgGa4Pd3 (PBE, Alexandria via LeMat-Bulk).

Unit cell a=4.0081 b=4.0081 c=11.8138 alpha=90.00 beta=90.00 gamma=90.00
With the nearest neighbours (Å) after each atom.
Element x y z (fractional)
Ho1 0.5000 0.0000 0.2396  4 Pd 3.07, 4 Ga 3.13
Ho2 0.0000 0.5000 0.7604  4 Pd 3.07, 4 Ga 3.13
Mg1 0.5000 0.5000 0.5000  4 Ga 2.66, 4 Pd 2.83
Ga1 0.5000 0.5000 0.0000  4 Pd 2.60, 4 Ga 2.83
Ga2 0.0000 0.0000 0.0000  4 Pd 2.60, 4 Ga 2.83
Ga3 0.5000 0.0000 0.6485  3 Pd 2.49-2.66, 2 Mg 2.66
Ga4 0.0000 0.5000 0.3515  3 Pd 2.49-2.66, 2 Mg 2.66
Pd1 0.0000 0.0000 0.5000  4 Ga 2.66, 4 Mg 2.83
Pd2 0.5000 0.0000 0.8595  5 Ga 2.49-2.60
Pd3 0.0000 0.5000 0.1405  5 Ga 2.49-2.60

Calculated values
formation enthalpy at 0 K: -0.71 eV per atom
SG: P-4m2
DOS(E_F): 3.1 states/eV per cell



[10]
# Zn2SiTe

A relaxed structure of Zn2SiTe (PBE, Alexandria via LeMat-Bulk).

Unit cell a=6.1809 b=6.1809 c=6.1809 alpha=145.66 beta=142.70 gamma=51.60
With the nearest neighbours (Å) after each atom.
Element x y z (fractional)
Si1 0.5016 0.5016 0.0000  6 Zn 2.69-2.71, 2 Te 2.87
Te1 0.3020 0.8020 0.5000  2 Si 2.87, 6 Zn 3.01-3.09
Zn1 0.0154 0.0154 0.0000  4 Si 2.69, 2 Zn 2.70
Zn2 0.6811 0.1811 0.5000  2 Zn 2.70, 2 Si 2.71, 4 Te 3.01

Calculated values
raw formation energy: 233 meV/atom
SG: Imm2
DOS(E_F): 1.8 states/eV per cell



[11]
# Ta2PtCl

A relaxed structure of Ta2PtCl (PBE, Alexandria via LeMat-Bulk).

Unit cell a=2.9403 b=2.9403 c=8.9219 alpha=90.00 beta=90.00 gamma=90.00
With the nearest neighbours (Å) after each atom.
Element x y z (fractional)
Cl1 0.0000 0.0000 0.4426  4 Ta 2.70, 4 Cl 2.94
Pt1 0.5000 0.5000 0.8044  4 Ta 2.73, 4 Pt 2.94
Ta1 0.0000 0.0000 0.0029  4 Pt 2.73, 8 Ta 2.94-3.03
Ta2 0.5000 0.5000 0.2500  4 Cl 2.70, 4 Ta 2.94

Calculated values
raw formation energy: -286 meV/atom
SG: P4mm
DOS(E_F): 2.7 states/eV per cell



[12]
# Ta2PtPb

A relaxed structure of Ta2PtPb (PBE, Alexandria via LeMat-Bulk).

Unit cell a=3.0506 b=3.0506 c=8.1762 alpha=90.00 beta=90.00 gamma=90.00
With the nearest neighbours (Å) after each atom.
Element x y z (fractional)
Pb1 0.5000 0.5000 0.2500  4 Pb 3.05, 8 Ta 3.13
Pt1 0.5000 0.5000 0.7500  8 Ta 2.83, 4 Pt 3.05
Ta1 0.0000 0.0000 0.9733  4 Pt 2.83, 4 Ta 3.05, 4 Pb 3.13
Ta2 0.0000 0.0000 0.5267  4 Pt 2.83, 4 Ta 3.05, 4 Pb 3.13

Calculated values
formation enthalpy at 0 K: 0.11 eV per atom
SG: P4/mmm
DOS(E_F): 2.9 states/eV per cell



[13]
# Ba3ThBi2O9

A relaxed structure of Ba3ThBi2O9 (PBE, Alexandria via LeMat-Bulk).

Unit cell a=6.3322 b=6.3322 c=7.7870 alpha=90.00 beta=90.00 gamma=120.00
With the nearest neighbours (Å) after each atom.
Element x y z (fractional)
Ba1 0.3333 0.6667 0.6888  12 O 3.04-3.33
Ba2 0.0000 0.0000 0.0000  12 O 3.16-3.17
Ba3 0.6667 0.3333 0.3112  12 O 3.04-3.33
Th1 0.0000 0.0000 0.5000  6 O 2.27
Bi1 0.3333 0.6667 0.1669  6 O 2.21-2.24
Bi2 0.6667 0.3333 0.8331  6 O 2.21-2.24
O1 0.8316 0.1684 0.6700  1 Bi 2.21, 1 Th 2.27
O2 0.8316 0.6633 0.6700  1 Bi 2.21, 1 Th 2.27
O3 0.3367 0.1684 0.6700  1 Bi 2.21, 1 Th 2.27
O4 0.6633 0.8316 0.3300  1 Bi 2.21, 1 Th 2.27
O5 0.1684 0.3367 0.3300  1 Bi 2.21, 1 Th 2.27
O6 0.1684 0.8316 0.3300  1 Bi 2.21, 1 Th 2.27
O7 0.5000 0.0000 0.0000  2 Bi 2.24
O8 0.0000 0.5000 0.0000  2 Bi 2.24
O9 0.5000 0.5000 0.0000  2 Bi 2.24

Calculated values
raw formation energy: -2302 meV/atom
SG: P-3m1
DOS(E_F): 0.9 states/eV per cell



[14]
# BaCr2Ni

A relaxed structure of BaCr2Ni (PBE, Alexandria via LeMat-Bulk).

Unit cell a=4.3106 b=3.0614 c=6.5099 alpha=75.58 beta=90.00 gamma=90.00
With the nearest neighbours (Å) after each atom.
Element x y z (fractional)
Ba1 0.5000 0.7500 0.7500  2 Ba 3.06, 2 Ni 3.23
Cr1 0.0000 0.0200 0.1344  1 Cr 1.94
Cr2 0.0000 0.4800 0.3656  1 Cr 1.94
Ni1 0.5000 0.2500 0.2500  4 Cr 2.44

Calculated values
formation enthalpy at 0 K: 0.82 eV per atom
SG: P2/m
DOS(E_F): 5.2 states/eV per cell



[15]
# RuS2F2

A relaxed structure of RuS2F2 (PBE, Alexandria via LeMat-Bulk).

Unit cell a=3.2033 b=3.2033 c=6.4178 alpha=75.55 beta=75.55 gamma=90.00
With the nearest neighbours (Å) after each atom.
Element x y z (fractional)
Ru1 0.0000 0.0000 0.0000  8 S 2.60
S1 0.3936 0.3936 0.2129  4 F 2.35, 1 S 2.56, 4 Ru 2.60
S2 0.6064 0.6064 0.7871  4 F 2.35, 1 S 2.56, 4 Ru 2.60
F1 0.7500 0.2500 0.5000  4 F 2.27, 4 S 2.35
F2 0.2500 0.7500 0.5000  4 F 2.27, 4 S 2.35

Calculated values
raw formation energy: 34 meV/atom
SG: I4/mmm
DOS(E_F): 2.8 states/eV per cell



[16]
# HfGe2Os

A relaxed structure of HfGe2Os (PBE, Alexandria via LeMat-Bulk).

Unit cell a=4.5181 b=4.5181 c=4.5181 alpha=60.00 beta=60.00 gamma=60.00
With the nearest neighbours (Å) after each atom.
Element x y z (fractional)
Hf1 0.0000 0.0000 0.0000  8 Ge 2.77
Ge1 0.2500 0.2500 0.2500  4 Hf 2.77, 4 Os 2.77
Ge2 0.7500 0.7500 0.7500  4 Hf 2.77, 4 Os 2.77
Os1 0.5000 0.5000 0.5000  8 Ge 2.77

Calculated values
formation enthalpy at 0 K: -0.03 eV per atom
SG: Fm-3m
DOS(E_F): 4.3 states/eV per cell



[17]
# Nd2SnGe4Pd3

A relaxed structure of Nd2SnGe4Pd3 (PBE, Alexandria via LeMat-Bulk).

Unit cell a=4.3529 b=4.3529 c=10.7802 alpha=90.00 beta=90.00 gamma=90.00
With the nearest neighbours (Å) after each atom.
Element x y z (fractional)
Nd1 0.5000 0.0000 0.2353  8 Ge 3.30-3.34, 6 Pd 3.32-3.59, 2 Sn 3.59
Nd2 0.0000 0.5000 0.7647  8 Ge 3.30-3.34, 6 Pd 3.32-3.59, 2 Sn 3.59
Sn1 0.5000 0.5000 0.5000  4 Ge 2.74
Ge1 0.5000 0.5000 0.0000  4 Pd 2.54
Ge2 0.0000 0.0000 0.0000  4 Pd 2.54
Ge3 0.5000 0.0000 0.6540  1 Pd 2.43
Ge4 0.0000 0.5000 0.3460  1 Pd 2.43
Pd1 0.0000 0.0000 0.5000  4 Ge 2.74
Pd2 0.5000 0.0000 0.8791  5 Ge 2.43-2.54
Pd3 0.0000 0.5000 0.1209  5 Ge 2.43-2.54

Calculated values
formation enthalpy at 0 K: -0.69 eV per atom
SG: P-4m2
DOS(E_F): 2.7 states/eV per cell



[18]
# SmTmZnIn

A relaxed structure of SmTmZnIn (PBE, Alexandria via LeMat-Bulk).

Unit cell a=3.6502 b=3.6502 c=7.4788 alpha=90.00 beta=90.00 gamma=90.00
With the nearest neighbours (Å) after each atom.
Element x y z (fractional)
Sm1 0.5000 0.5000 0.1250  4 Zn 3.18, 4 In 3.33, 1 Tm 3.44
Tm1 0.5000 0.5000 0.5855  4 Zn 3.03, 4 In 3.22
Zn1 0.0000 0.0000 0.3735  4 Tm 3.03, 4 Sm 3.18
In1 0.0000 0.0000 0.8440  4 Tm 3.22, 4 Sm 3.33, 1 Zn 3.52

Calculated values
formation enthalpy at 0 K: -0.41 eV per atom
SG: P4mm
DOS(E_F): 3.4 states/eV per cell



[19]
# Nd2ThCd

A relaxed structure of Nd2ThCd (PBE, Alexandria via LeMat-Bulk).

Unit cell a=5.5870 b=5.5870 c=5.5870 alpha=60.00 beta=60.00 gamma=60.00
With the nearest neighbours (Å) after each atom.
Element x y z (fractional)
Nd1 0.2500 0.2500 0.2500  4 Cd 3.42, 4 Th 3.42
Nd2 0.7500 0.7500 0.7500  4 Th 3.42, 4 Cd 3.42
Th1 0.5000 0.5000 0.5000  8 Nd 3.42
Cd1 0.0000 0.0000 0.0000  8 Nd 3.42

Calculated values
formation enthalpy at 0 K: 0.07 eV per atom
SG: Fm-3m
DOS(E_F): 6.2 states/eV per cell



[20]
# Pa3Cl3O5

A relaxed structure of Pa3Cl3O5 (PBE, Alexandria via LeMat-Bulk).

Unit cell a=5.5502 b=6.9252 c=6.9252 alpha=120.00 beta=90.00 gamma=90.00
With the nearest neighbours (Å) after each atom.
Element x y z (fractional)
Pa1 0.5000 0.6496 0.0000  4 O 2.17-2.25
Pa2 0.5000 0.3504 0.3504  4 O 2.17-2.25
Pa3 0.5000 0.0000 0.6496  4 O 2.17-2.25
Cl1 0.0000 0.6478 0.0000  2 Pa 2.78
Cl2 0.0000 0.0000 0.6478  2 Pa 2.78
Cl3 0.0000 0.3522 0.3522  2 Pa 2.78
O1 0.5000 0.6667 0.3333  3 Pa 2.25
O2 0.5000 0.3333 0.6667  3 Pa 2.25
O3 0.5000 0.2510 0.0000  2 Pa 2.17
O4 0.5000 0.7490 0.7490  2 Pa 2.17
O5 0.5000 0.0000 0.2510  2 Pa 2.17

Calculated values
raw formation energy: -2966 meV/atom
SG: P-62m
DOS(E_F): 6.3 states/eV per cell



| no. | total energy (eV/atom) |
| --- | --- |
| 1 | -4.773 |
| 2 | -4.879 |
| 3 | -1.795 |
| 4 | -5.472 |
| 5 | -2.943 |
| 6 | -5.942 |
| 7 | -3.384 |
| 8 | -8.075 |
| 9 | -4.553 |
| 10 | -2.545 |
| 11 | -8.184 |
| 12 | -8.254 |
| 13 | -6.673 |
| 14 | -5.918 |
| 15 | -4.221 |
| 16 | -7.636 |
| 17 | -5.448 |
| 18 | -3.710 |
| 19 | -4.395 |
| 20 | -8.314 |